A geometry-optimized Co2SiHgF structure, computed with PBE with a Hubbard U.

Geometry as POSCAR:
```
Co2SiHgF
1.0
4.1893 0.0000 0.0000
0.0000 4.1893 0.0000
0.0000 0.0000 4.5264
Co Si Hg F
2 1 1 1
direct
0.0000 0.5000 0.0000 Co
0.5000 0.0000 0.0000 Co
0.0000 0.0000 0.5000 Si
0.5000 0.5000 0.5000 Hg
0.0000 0.0000 0.0000 F
```

- Calculated total energy: -3.27 eV per atom